Entry 1:
{"formula": "Rb2Cu2BiSe4", "functional": "PBE", "state": "relaxed", "cell": [[-4.056, 0.266, -0.684], [0.698, -5.009, 6.333], [0.069, 7.800, 2.622]], "species": ["Rb", "Rb", "Cu", "Cu", "Bi", "Se", "Se", "Se", "Se"], "fractional_positions": [[0.868, 0.736, 0.452], [0.132, 0.264, 0.548], [0.308, 0.617, 0.009], [0.692, 0.383, 0.991], [0.000, 0.000, 0.000], [0.798, 0.597, 0.829], [0.202, 0.403, 0.171], [0.469, 0.939, 0.228], [0.531, 0.061, 0.772]], "formation_energy_uncorrected_ev_per_atom": -0.608, "rho_g_cm3": 5.48}


Entry 2:
{"formula": "GaHg2Ge", "functional": "PBE", "state": "relaxed", "cell": [[-0.002, -0.837, 4.112], [-3.873, -1.584, -0.324], [2.137, -10.773, -0.050]], "species": ["Ge", "Ge", "Hg", "Hg", "Hg", "Hg", "Ga", "Ga"], "fractional_positions": [[0.000, 0.000, 0.000], [0.750, 0.250, 0.500], [0.625, 0.125, 0.250], [0.125, 0.625, 0.250], [0.375, 0.375, 0.750], [0.875, 0.875, 0.750], [0.500, 0.500, 0.000], [0.250, 0.750, 0.500]], "formation_energy_kj_per_mol_fu": 77, "rho_g_cm3": 9.69}


no.,N(E_F) (states/eV/cell)
1,7.38
2,4.24